SrMnV2O8 | PBE with a Hubbard U | optimized geometry

Unit cell a=7.3505 b=7.3505 c=6.4997 alpha=90.00 beta=90.00 gamma=90.00
Space group I-4m2 (No. 119)
Inequivalent atoms, fractional coordinates:
Sr (0.0000, 0.0000, 0.0000)
Mn (0.0000, 0.5000, 0.2500)
V (0.0000, 0.0000, 0.5000)
V (0.0000, 0.5000, 0.7500)
O (0.0000, 0.1933, 0.3427)
O (0.0000, 0.3239, 0.9272)

DFT total energy: -84.44 eV/f.u.
DOS at the Fermi energy: 0.658 states/eV/atom